No. 1
ScMo2Cl | the Alexandria database | PBE | relaxed; energy above the most stable polymorph in this dataset = 165 kJ/mol of formula units; energy relative to the elements, uncorrected = 0.200 eV/atom; M_tot = 0.00 Bohr magnetons per cell
1.0
2.978 0.000 0.000
0.000 5.000 0.000
-0.115 0.000 4.735
Sc Mo Cl
1 2 1
Cartesian
0.000 0.000 0.000
1.024 2.500 3.586
1.840 2.500 1.149
1.432 0.000 2.368

=====

No. 2
Sm2HoPa | the Alexandria database | PBE | relaxed; energy above the most stable polymorph in this dataset = 0 kJ/mol of formula units; DFT formation energy = 0.156 eV/atom; M_tot = 0.00 Bohr magnetons per cell
1.0
3.431 0.000 0.000
0.000 3.431 0.000
0.000 0.000 10.334
Sm Ho Pa
2 1 1
Cartesian
0.000 0.000 2.413
0.000 0.000 7.922
1.716 1.716 5.167
1.716 1.716 0.000

=====

| no. | mass density (g/cm³) | density of states at the Fermi level (states/eV/atom) |
| --- | --- | --- |
| 1 | 6.4 | 0.771 |
| 2 | 9.5 | 1.573 |